Record 1
Below is an optimized crystal structure of Ce4NdSm3Se8, with properties calculated at the PBE level.

The structure in extended XYZ format:
```
16
Lattice="4.190 2.419 6.873 -4.190 2.419 6.873 0.000 -4.838 6.873" Properties=species:S:1:pos:R:3 pbc="T T T"
Ce 0.000 0.000 0.000
Ce -2.095 -1.210 6.873
Ce -2.095 1.210 13.746
Ce 0.000 2.419 6.873
Nd 0.000 0.000 10.309
Sm -4.190 0.000 10.309
Sm -2.095 1.210 3.436
Sm 2.095 1.210 3.436
Se -2.110 -1.218 12.019
Se 0.000 0.000 5.134
Se 0.000 -2.436 8.600
Se -2.110 1.218 8.600
Se 2.110 -1.218 12.019
Se 0.000 2.436 12.019
Se 0.000 0.000 15.485
Se 2.110 1.218 8.600
```

Results
Spin magnetization   3.869 μB per formula unit
Formation energy without anion corrections   -1829 meV per atom

=====

Record 2
Below is an optimized crystal structure of Sm4ZnCo, with properties calculated at the PBE level.

The structure in extended XYZ format:
```
24
Lattice="0.000 6.751 6.751 6.751 0.000 6.751 6.751 6.751 0.000" Properties=species:S:1:pos:R:3 pbc="T T T"
Sm 3.376 3.376 0.792
Sm 3.376 0.792 3.376
Sm 5.959 3.376 3.376
Sm 6.751 6.751 2.543
Sm 6.751 2.543 6.751
Sm 10.959 6.751 6.751
Sm 8.097 5.405 5.405
Sm 0.792 3.376 3.376
Sm 3.376 5.959 3.376
Sm 3.376 3.376 5.959
Sm 5.405 8.097 5.405
Sm 5.405 5.405 8.097
Sm 8.097 8.097 8.097
Sm 2.543 6.751 6.751
Sm 6.751 10.959 6.751
Sm 6.751 6.751 10.959
Zn 11.165 9.088 9.088
Zn 9.088 11.165 9.088
Zn 9.088 9.088 11.165
Zn 11.165 11.165 11.165
Co 5.284 5.284 5.284
Co 8.218 8.218 5.284
Co 8.218 5.284 8.218
Co 5.284 8.218 8.218
```

Results
Spin magnetization   0.000 μB per formula unit
Energy of formation from the pure elements   -0.18 eV per atom

=====

Record 3
Below is an optimized crystal structure of CePr4Ga4, with properties calculated at the PBE level.

The structure in extended XYZ format:
```
9
Lattice="-5.171 5.171 2.461 5.171 -5.171 2.461 5.171 5.171 -2.461" Properties=species:S:1:pos:R:3 pbc="T T T"
Ce 0.000 0.000 0.000
Pr 6.704 1.373 0.000
Pr 1.373 3.637 0.000
Pr 3.798 1.534 2.461
Pr -1.534 3.798 2.461
Ga 4.446 3.423 0.000
Ga 1.747 -0.725 2.461
Ga 3.423 5.895 0.000
Ga 0.725 1.747 2.461
```

Results
Spin magnetization   1.129 μB per formula unit
Energy of formation from the pure elements   -0.36 eV per atom

=====

Record 4
Below is an optimized crystal structure of HfMg2CdMo, with properties calculated at the PBE level.

The structure in extended XYZ format:
```
5
Lattice="4.751 0.000 0.000 0.000 4.751 0.000 0.000 0.000 5.192" Properties=species:S:1:pos:R:3 pbc="T T T"
Hf 0.000 0.000 0.000
Mg 0.000 2.376 2.596
Mg 2.376 0.000 2.596
Cd 2.376 2.376 2.596
Mo 2.376 2.376 0.000
```

Results
Spin magnetization   0.000 μB per formula unit
Energy of formation from the pure elements   1.14 eV per atom

=====

Record 5
Below is an optimized crystal structure of ZnCl3, with properties calculated at the PBE level.

The structure in extended XYZ format:
```
4
Lattice="5.015 0.000 0.000 0.000 3.566 0.000 -1.507 0.000 5.496" Properties=species:S:1:pos:R:3 pbc="T T T"
Zn 0.000 0.000 0.000
Cl 0.218 1.783 1.666
Cl 2.508 0.000 0.000
Cl 3.291 1.783 3.831
```

Results
Spin magnetization   1.006 μB per formula unit
Formation energy without anion corrections   -546 meV per atom

=====

Record 6
Below is an optimized crystal structure of V2Pt3Rh3, with properties calculated at the PBE level.

The structure in extended XYZ format:
```
8
Lattice="3.862 0.000 0.000 0.000 3.892 0.000 0.000 0.000 7.664" Properties=species:S:1:pos:R:3 pbc="T T T"
V 0.000 0.000 1.877
V 0.000 0.000 5.786
Pt 0.000 1.946 3.832
Pt 1.931 1.946 1.899
Pt 1.931 1.946 5.765
Rh 0.000 1.946 0.000
Rh 1.931 0.000 0.000
Rh 1.931 0.000 3.832
```

Results
Spin magnetization   0.641 μB per formula unit
Energy of formation from the pure elements   -0.44 eV per atom

=====

Record 7
Below is an optimized crystal structure of LiMgSb2Pd4, with properties calculated at the PBE level.

The structure in extended XYZ format:
```
8
Lattice="2.283 1.318 7.488 -2.283 1.318 7.488 0.000 -2.636 7.488" Properties=species:S:1:pos:R:3 pbc="T T T"
Li 0.000 0.000 0.000
Mg 0.000 0.000 11.232
Sb 0.000 0.000 5.686
Sb 0.000 0.000 16.777
Pd 0.000 0.000 2.838
Pd 0.000 0.000 8.461
Pd 0.000 0.000 14.002
Pd 0.000 0.000 19.626
```

Results
Spin magnetization   0.000 μB per formula unit
Formation energy without anion corrections   -607 meV per atom

=====

Record 8
Below is an optimized crystal structure of CsCeCdBr6, with properties calculated at the PBE level.

The structure in extended XYZ format:
```
18
Lattice="-5.067 5.350 7.533 5.067 -5.350 7.533 5.067 5.350 -7.533" Properties=species:S:1:pos:R:3 pbc="T T T"
Cs 0.000 2.675 0.738
Cs 5.067 2.675 6.795
Ce 5.067 0.000 0.000
Ce 0.000 0.000 7.533
Cd 2.534 2.675 -3.767
Cd 2.534 -2.675 3.767
Br 5.067 -2.675 4.683
Br 2.861 -0.611 1.801
Br 7.274 -0.611 1.801
Br 2.861 4.739 -1.801
Br 2.206 -0.611 5.733
Br 5.067 2.675 1.239
Br 0.000 2.675 6.294
Br 2.861 5.961 1.801
Br 2.206 0.611 9.334
Br -2.206 5.961 5.733
Br 2.206 5.961 5.733
Br 0.000 8.025 2.850
```

Results
Spin magnetization   1.001 μB per formula unit
Formation energy without anion corrections   -1448 meV per atom

=====

> Which value of spin magnetization does entry 7 give?

0.000 μB per formula unit